No. 1
VASP calculation (PBE) on KInP3 after structural relaxation.

Properties
crystal system = cubic
V = 152.9 Å³/cell
ΔE_f = 1.70 eV per atom
polymorph energy (0 for the lowest one) = 999.5 meV per atom

Lattice parameters (Å, degrees): 5.347 5.347 5.347 90.00 90.00 90.00
Space group Pm-3m (No. 221)
One atom of each set of equivalent atoms:
K (0.000, 0.000, 0.000) (multiplicity 1)
In (0.500, 0.500, 0.500) (multiplicity 1)
P (0.000, 0.000, 0.500) (multiplicity 3)

=====

No. 2
VASP calculation (PBE) on KIn2P2 after structural relaxation.

Properties
crystal system = tetragonal
V = 293.6 Å³/cell
ΔE_f = -0.16 eV per atom

Lattice parameters (Å, degrees): 4.644 4.644 13.615 90.00 90.00 90.00
Space group I4/mmm (No. 139)
One atom of each set of equivalent atoms:
K (0.000, 0.000, 0.000) (multiplicity 2)
In (0.000, 0.500, 0.250) (multiplicity 4)
P (0.000, 0.000, 0.354) (multiplicity 4)

=====

No. 3
VASP calculation (PBE) on K6In4P after structural relaxation.

Properties
crystal system = hexagonal
V = 466.4 Å³/cell
ΔE_f = 0.10 eV per atom

Lattice parameters (Å, degrees): 12.5073 12.5073 3.4432 90.00 90.00 120.00
Space group P-6m2 (No. 187)
One atom of each set of equivalent atoms:
K (0.0152, 0.5076, 0.0000) (multiplicity 3)
K (0.1182, 0.2363, 0.5000) (multiplicity 3)
In (0.3333, 0.6667, 0.0000) (multiplicity 1)
In (0.4985, 0.2492, 0.5000) (multiplicity 3)
P (0.0000, 0.0000, 0.0000) (multiplicity 1)

=====

No. 4
VASP calculation (PBE) on KInP2 after structural relaxation.

Properties
crystal system = monoclinic
V = 178.3 Å³/cell
ΔE_f = 0.36 eV per atom

Lattice parameters (Å, degrees): 6.499 9.004 3.048 90.00 90.47 90.00
Space group C2/m (No. 12)
One atom of each set of equivalent atoms:
K (0.000, 0.000, 0.000) (multiplicity 2)
In (0.000, 0.500, 0.000) (multiplicity 2)
P (0.250, 0.250, 0.500) (multiplicity 4)

=====

No. 5
VASP calculation (PBE) on KInP3 after structural relaxation.

Properties
crystal system = cubic
V = 139.1 Å³/cell
ΔE_f = 0.70 eV per atom
polymorph energy (0 for the lowest one) = 0.0 meV per atom

Lattice parameters (Å, degrees): 5.181 5.181 5.181 90.00 90.00 90.00
Space group Pm-3m (No. 221)
One atom of each set of equivalent atoms:
K (0.000, 0.000, 0.000) (multiplicity 1)
In (0.500, 0.500, 0.500) (multiplicity 1)
P (0.000, 0.500, 0.500) (multiplicity 3)

=====

No. 6
VASP calculation (PBE) on KInP2 after structural relaxation.

Properties
crystal system = tetragonal
V = 179.9 Å³/cell
ΔE_f = 0.36 eV per atom

Lattice parameters (Å, degrees): 4.564 4.564 8.637 90.00 90.00 90.00
Space group I4/mmm (No. 139)
One atom of each set of equivalent atoms:
K (0.000, 0.000, 0.000) (multiplicity 2)
In (0.000, 0.000, 0.500) (multiplicity 2)
P (0.000, 0.500, 0.250) (multiplicity 4)

=====

No. 7
VASP calculation (PBE) on KInP2 after structural relaxation.

Properties
crystal system = tetragonal
V = 88.0 Å³/cell
ΔE_f = 0.33 eV per atom

Lattice parameters (Å, degrees): 4.611 4.611 4.137 90.00 90.00 90.00
Space group P4/mmm (No. 123)
One atom of each set of equivalent atoms:
K (0.000, 0.000, 0.000) (multiplicity 1)
In (0.500, 0.500, 0.000) (multiplicity 1)
P (0.000, 0.500, 0.500) (multiplicity 2)

=====

No. 8
VASP calculation (PBE) on KInP2 after structural relaxation.

Properties
crystal system = cubic
V = 371.8 Å³/cell
ΔE_f = 0.52 eV per atom

Lattice parameters (Å, degrees): 7.191 7.191 7.191 90.00 90.00 90.00
Space group F-43m (No. 216)
One atom of each set of equivalent atoms:
K (0.000, 0.000, 0.000) (multiplicity 4)
In (0.250, 0.250, 0.750) (multiplicity 4)
P (0.000, 0.000, 0.500) (multiplicity 4)
P (0.250, 0.250, 0.250) (multiplicity 4)